## NbZn2FeOs (PBE)

Data for a relaxed structure of NbZn2FeOs.

Lattice parameters (Å, degrees): 4.790 4.262 4.790 90.00 90.00 90.00
Element x y z (fractional)
Fe (0.000, 0.500, 0.000)
Os (0.500, 0.500, 0.500)
Zn (0.500, 0.000, 0.000)
Nb (0.000, 0.000, 0.000)
Zn (0.000, 0.000, 0.500)

Output
formation energy	1.95	eV/atom
energy	-22.57	eV/cell
SG	P4/mmm
size of the total moment	2.94	μB/f.u.